# PBE TiMnSe2S, optimized geometry
data_TiMnSe2S
_cell_length_a 3.595
_cell_length_b 4.654
_cell_length_c 13.031
_cell_angle_alpha 90.00
_cell_angle_beta 90.00
_cell_angle_gamma 90.00
_symmetry_space_group_name_H-M 'I m m 2'
_symmetry_Int_Tables_number 44
_symmetry_space_group_name_Hall 'I 2 -2'
loop_
_atom_site_label
_atom_site_type_symbol
_atom_site_fract_x
_atom_site_fract_y
_atom_site_fract_z
_atom_site_occupancy
Ti1 Ti 0.000 0.000 0.000 1
Mn1 Mn 0.000 0.500 0.825 1
Se1 Se 0.000 0.500 0.348 1
Se2 Se 0.000 0.500 0.638 1
S1 S 0.000 0.500 0.001 1
# total energy: -63.366 eV per cell
# formation energy (no corrections): -340 kJ/mol of formula units

# PBE PmErAl2, optimized geometry
data_PmErAl2
_cell_length_a 3.635
_cell_length_b 3.635
_cell_length_c 7.238
_cell_angle_alpha 90.00
_cell_angle_beta 90.00
_cell_angle_gamma 90.00
_symmetry_space_group_name_H-M 'P 4/m m m'
_symmetry_Int_Tables_number 123
_symmetry_space_group_name_Hall '-P 4 2'
loop_
_atom_site_label
_atom_site_type_symbol
_atom_site_fract_x
_atom_site_fract_y
_atom_site_fract_z
_atom_site_occupancy
Pm1 Pm 0.000 0.000 0.000 1
Er1 Er 0.000 0.000 0.500 1
Al1 Al 0.500 0.500 0.265 1
# energy relative to the elements: -0.3859 eV per atom
# energy above the most stable polymorph in this dataset: 0 meV/atom
# total energy: -18.342 eV per cell

# PBE ReIBr3, optimized geometry
data_ReIBr3
_cell_length_a 10.435
_cell_length_b 6.319
_cell_length_c 12.788
_cell_angle_alpha 90.00
_cell_angle_beta 124.05
_cell_angle_gamma 90.00
_symmetry_space_group_name_H-M 'P 1 21/c 1'
_symmetry_Int_Tables_number 14
_symmetry_space_group_name_Hall '-P 2ybc'
loop_
_atom_site_label
_atom_site_type_symbol
_atom_site_fract_x
_atom_site_fract_y
_atom_site_fract_z
_atom_site_occupancy
Re1 Re 0.116 0.015 0.185 1
I1 I 0.337 0.713 0.868 1
Br1 Br 0.102 0.249 0.844 1
Br2 Br 0.114 0.709 0.516 1
Br3 Br 0.298 0.237 0.690 1
# energy above the most stable polymorph in this dataset: 0 meV/atom
# total energy: -77.854 eV per cell
# formation energy (no corrections): -43 kJ/mol of formula units